# HWO2

A geometry-optimized HWO2 structure (PBE+U, Alexandria via LeMat-Bulk).

a b c (Å): 2.8982 2.8982 16.8154
angles (deg): 90.00 90.00 120.00
With the nearest neighbours (Å) after each atom.
Space group R-3m (No. 166, hexagonal axes)
Asymmetric unit:
H1 0.0000 0.0000 0.0000 [3 per cell]  6 O 1.93
W1 0.0000 0.0000 0.5000 [3 per cell]  2 O 1.84
O1 0.0000 0.0000 0.3905 [6 per cell]  1 W 1.84, 3 H 1.93

Summary:
- M_tot (μB/f.u.) = 0.000
- final energy (eV/atom) = -5.00